Record 1
Compound: Mg2NbCrBi
Source: the Alexandria database
Functional: PBE-GGA
Structure: optimized geometry

```
Mg2NbCrBi
1.0
-2.628 -2.716 -3.862
1.068 -3.882 2.003
-4.544 0.253 2.914
Cr Mg Bi Nb
1 2 1 1
Direct
0.000 0.500 0.000
0.000 0.000 0.500
0.500 0.000 0.000
0.500 0.500 0.500
0.000 0.000 0.000
```

Properties
- Mass density: 5.09 g/cm³
- Energy of formation: 5.1 eV/f.u.
- Magnetic moment: 1.40 Bohr magnetons per cell
- Total energy: -21.62 eV/cell


Record 2
Compound: NbTl3Os
Source: the Alexandria database
Functional: PBE-GGA
Structure: optimized geometry

```
NbTl3Os
1.0
5.452 0.000 0.000
0.000 5.452 0.000
0.000 0.000 5.452
Tl Os Nb
3 1 1
Direct
0.500 0.000 0.000
0.000 0.000 0.500
0.000 0.500 0.000
0.500 0.500 0.500
0.000 0.000 0.000
```

Properties
- Mass density: 9.19 g/cm³
- Energy of formation: 9.3 eV/f.u.
- Magnetic moment: 4.67 Bohr magnetons per cell
- Total energy: -19.12 eV/cell


Record 3
Compound: FePd6Au5
Source: the Alexandria database
Functional: PBE-GGA
Structure: optimized geometry

```
FePd6Au5
1.0
3.881 -0.021 1.293
0.037 7.825 0.012
0.012 -0.010 6.434
Au Pd Fe
5 6 1
Direct
0.000 0.500 0.000
0.667 0.500 0.667
0.335 0.000 0.330
0.333 0.500 0.333
0.665 0.000 0.670
0.500 0.238 0.000
0.500 0.762 0.000
0.163 0.243 0.674
0.163 0.757 0.674
0.837 0.757 0.326
0.837 0.243 0.326
0.000 0.000 0.000
```

Properties
- Mass density: 14.28 g/cm³
- Energy of formation: -1.0 eV/f.u.
- Magnetic moment: 4.38 Bohr magnetons per cell
- Total energy: -56.96 eV/cell


Record 4
Compound: LaCd2TeSe
Source: the Alexandria database
Functional: PBE-GGA
Structure: optimized geometry

```
LaCd2TeSe
1.0
-0.361 -4.207 -2.931
-0.407 -3.421 4.960
-5.115 0.494 -0.079
Cd Se La Te
2 1 1 1
Direct
0.000 0.000 0.500
0.500 0.000 0.000
0.000 0.000 0.000
0.500 0.500 0.500
0.000 0.500 0.000
```

Properties
- Mass density: 5.94 g/cm³
- Magnetic moment: 0.00 Bohr magnetons per cell
- Total energy: -13.62 eV/cell


Record 5
Compound: Zr2Cr2Ni
Source: the Alexandria database
Functional: PBE-GGA
Structure: optimized geometry

```
Zr2Cr2Ni
1.0
6.309 0.000 0.000
0.000 6.309 0.000
0.000 0.000 4.121
Ni Zr Cr
2 4 4
Direct
0.000 0.000 0.000
0.500 0.500 0.000
0.816 0.316 0.500
0.684 0.816 0.500
0.316 0.184 0.500
0.184 0.684 0.500
0.387 0.887 0.000
0.613 0.113 0.000
0.113 0.387 0.000
0.887 0.613 0.000
```

Properties
- Mass density: 6.99 g/cm³
- Energy of formation: 0.6 eV/f.u.
- Magnetic moment: 0.00 Bohr magnetons per cell
- Total energy: -83.12 eV/cell


Record 6
Compound: CdIrBr2
Source: the Alexandria database
Functional: PBE-GGA
Structure: optimized geometry

```
CdIrBr2
1.0
-0.915 3.108 0.525
-4.420 -0.615 -4.062
-2.740 -1.346 3.186
Br Cd Ir
2 1 1
Direct
0.500 0.500 0.000
0.000 0.000 0.000
0.500 0.000 0.500
0.000 0.500 0.500
```

Properties
- Mass density: 8.82 g/cm³
- Magnetic moment: 0.00 Bohr magnetons per cell
- Total energy: -10.83 eV/cell